K2TlVF6: optimized geometry, PBE with a Hubbard U.

## Properties
- M_tot: 2.00 μB per formula unit
- Calculated density: 3.84 Mg/m³
- Total energy: -48.8 eV/f.u.
- Space-group type: Fm-3m
- Crystal system: cubic
- Offset from the most stable computed form: 129.4 meV per atom

Unit cell a=6.493 b=6.493 c=6.493 alpha=60.00 beta=60.00 gamma=60.00
Positions (direct):
K (0.250, 0.250, 0.250)
K (0.750, 0.750, 0.750)
Tl (0.000, 0.000, 0.000)
V (0.500, 0.500, 0.500)
F (0.285, 0.285, 0.715)
F (0.285, 0.715, 0.285)
F (0.285, 0.715, 0.715)
F (0.715, 0.285, 0.285)
F (0.715, 0.285, 0.715)
F (0.715, 0.715, 0.285)